# 1
Pm7SmCd4: relaxed, GGA-PBE.

Lattice parameters (Å, degrees): 8.0559 8.0559 9.9552 119.66 119.66 42.51
Sites, in units of the cell vectors:
Pm (0.0000, 0.0000, 0.0000)
Pm (0.2363, 0.2363, 0.6927)
Pm (0.2959, 0.2959, 0.1185)
Pm (0.4300, 0.4300, 0.5894)
Pm (0.5700, 0.5700, 0.4106)
Pm (0.7041, 0.7041, 0.8815)
Pm (0.7637, 0.7637, 0.3073)
Sm (0.5000, 0.5000, 0.0000)
Cd (0.0406, 0.0406, 0.7127)
Cd (0.1816, 0.1816, 0.3428)
Cd (0.8184, 0.8184, 0.6572)
Cd (0.9594, 0.9594, 0.2873)

Summary:
For the density of states at the Fermi level, the calculation gives 1.24 states/eV per atom. Its calculated total energy is -3.495 eV/atom. The total moment is 0.0 μB/cell. The calculation puts the formation energy from the elements at -25.4 meV per atom. The calculated density comes out at 7.25 g cm⁻³.

=====

# 2
CaSc2F: relaxed, GGA-PBE.

Lattice parameters (Å, degrees): 7.4430 7.4430 7.4430 90.00 90.00 90.00
Sites, in units of the cell vectors:
Ca (0.0000, 0.0000, 0.0000)
Ca (0.0000, 0.5000, 0.5000)
Ca (0.5000, 0.0000, 0.5000)
Ca (0.5000, 0.5000, 0.0000)
Sc (0.2500, 0.2500, 0.2500)
Sc (0.2500, 0.2500, 0.7500)
Sc (0.2500, 0.7500, 0.2500)
Sc (0.2500, 0.7500, 0.7500)
Sc (0.7500, 0.2500, 0.2500)
Sc (0.7500, 0.2500, 0.7500)
Sc (0.7500, 0.7500, 0.2500)
Sc (0.7500, 0.7500, 0.7500)
F (0.0000, 0.0000, 0.5000)
F (0.0000, 0.5000, 0.0000)
F (0.5000, 0.0000, 0.0000)
F (0.5000, 0.5000, 0.5000)

Summary:
For the density of states at the Fermi level, the calculation gives 1.78 states/eV per atom. Its calculated total energy is -4.057 eV/atom. The total moment is 9.6 μB/cell. The calculated density comes out at 2.40 g cm⁻³.

=====

# 3
SrLiMg2Pd: relaxed, GGA-PBE.

Lattice parameters (Å, degrees): 5.0988 5.0988 5.0855 90.00 90.00 90.00
Sites, in units of the cell vectors:
Sr (0.0000, 0.0000, 0.0000)
Li (0.5000, 0.5000, 0.0000)
Mg (0.0000, 0.5000, 0.5000)
Mg (0.5000, 0.0000, 0.5000)
Pd (0.5000, 0.5000, 0.5000)

Summary:
For the density of states at the Fermi level, the calculation gives 0.38 states/eV per atom. Its calculated total energy is -2.648 eV/atom. The total moment is 0.0 μB/cell. The calculation puts the formation energy from the elements at -252.6 meV per atom. The calculated density comes out at 3.13 g cm⁻³.

=====

# 4
Ca2Sm4Ho: relaxed, GGA-PBE.

Lattice parameters (Å, degrees): 5.7082 5.7082 17.8696 90.00 90.00 90.00
Sites, in units of the cell vectors:
Ca (0.0000, 0.0000, 0.1277)
Ca (0.0000, 0.0000, 0.8723)
Ca (0.5000, 0.5000, 0.3723)
Ca (0.5000, 0.5000, 0.6277)
Sm (0.0000, 0.0000, 0.3286)
Sm (0.0000, 0.0000, 0.6714)
Sm (0.0000, 0.5000, 0.0000)
Sm (0.0000, 0.5000, 0.5000)
Sm (0.5000, 0.0000, 0.0000)
Sm (0.5000, 0.0000, 0.5000)
Sm (0.5000, 0.5000, 0.1714)
Sm (0.5000, 0.5000, 0.8286)
Ho (0.0000, 0.0000, 0.5000)
Ho (0.5000, 0.5000, 0.0000)

Summary:
For the density of states at the Fermi level, the calculation gives 1.58 states/eV per atom. Its calculated total energy is -3.318 eV/atom. The total moment is 0.8 μB/cell. The calculation puts the formation energy from the elements at 604.4 meV per atom. The calculated density comes out at 4.83 g cm⁻³.

=====

# 5
GaHg8: relaxed, GGA-PBE.

Lattice parameters (Å, degrees): 7.2713 7.2713 7.2713 97.10 97.10 138.85
Sites, in units of the cell vectors:
Ga (0.0000, 0.0000, 0.0000)
Hg (0.0000, 0.3293, 0.3293)
Hg (0.0000, 0.6707, 0.6707)
Hg (0.3293, 0.0000, 0.3293)
Hg (0.3343, 0.3343, 0.6686)
Hg (0.3343, 0.6657, 0.0000)
Hg (0.6657, 0.3343, 0.0000)
Hg (0.6657, 0.6657, 0.3314)
Hg (0.6707, 0.0000, 0.6707)

Summary:
For the density of states at the Fermi level, the calculation gives 0.29 states/eV per atom. Its calculated total energy is -0.563 eV/atom. The total moment is 0.0 μB/cell. The calculation puts the formation energy from the elements at 42.0 meV per atom. The calculated density comes out at 11.74 g cm⁻³.

=====

# 6
CdCN3: relaxed, GGA-PBE.

Lattice parameters (Å, degrees): 4.2204 4.2204 4.2204 90.00 90.00 90.00
Sites, in units of the cell vectors:
Cd (0.0000, 0.0000, 0.0000)
C (0.5000, 0.5000, 0.5000)
N (0.0000, 0.0000, 0.5000)
N (0.0000, 0.5000, 0.0000)
N (0.5000, 0.0000, 0.0000)

Summary:
For the density of states at the Fermi level, the calculation gives 0.48 states/eV per atom. Its calculated total energy is -3.262 eV/atom. The total moment is 3.6 μB/cell. The calculated density comes out at 3.68 g cm⁻³.

=====

What is the total moment in the sixth record? 3.6 μB/cell

=====

Number 1 is which compound? Pm7SmCd4

=====

Among the records above, which one has the highest calculated total energy? GaHg8

=====

Look up the total moment of the sixth one. 3.6 μB/cell